Run w
First-principles (PBE) data for crystalline VAgBr2 at its relaxed geometry, as listed in Alexandria.

Output
* ρ: 4.8 g cm⁻³

Lattice parameters (Å, degrees): 3.8957 3.8957 25.3784 90.00 90.00 120.00
Space group R-3m (No. 166, hexagonal axes)
Asymmetric unit:
V 0.0000 0.0000 0.0000 x3
Ag 0.0000 0.0000 0.5000 x3
Br 0.0000 0.0000 0.0978 x6

Run x
First-principles (PBE) data for crystalline VAgBr2 at its relaxed geometry, as listed in Alexandria.

Output
* ρ: 4.6 g cm⁻³

Lattice parameters (Å, degrees): 3.6115 3.6115 30.8003 90.00 90.00 120.00
Space group R-3m (No. 166, hexagonal axes)
Asymmetric unit:
V 0.0000 0.0000 0.0000 x3
Ag 0.0000 0.0000 0.5000 x3
Br 0.0000 0.0000 0.3838 x6

Run y
First-principles (PBE) data for crystalline VAgBr2 at its relaxed geometry, as listed in Alexandria.

Output
* ρ: 6.0 g cm⁻³

Lattice parameters (Å, degrees): 7.050 7.050 7.050 90.00 90.00 90.00
Space group Fm-3m (No. 225)
Asymmetric unit:
V 0.000 0.000 0.000 x4
Ag 0.000 0.000 0.500 x4
Br 0.250 0.250 0.250 x8

Most stable to least stable, the ends of the list are run x and run y.

Run w
First-principles (PBE) data for crystalline VAg2Br at its relaxed geometry, as listed in Alexandria.

Output
* ρ: 6.6 g cm⁻³

Lattice parameters (Å, degrees): 8.058 8.058 5.340 90.00 90.00 90.00
Space group I-42d (No. 122)
Asymmetric unit:
V 0.000 0.000 0.000 x4
Ag 0.240 0.250 0.125 x8
Br 0.000 0.000 0.500 x4

Run x
First-principles (PBE) data for crystalline VAg2Br at its relaxed geometry, as listed in Alexandria.

Output
* ρ: 7.0 g cm⁻³

Lattice parameters (Å, degrees): 6.906 6.906 6.906 90.00 90.00 90.00
Space group Fm-3m (No. 225)
Asymmetric unit:
V 0.000 0.000 0.000 x4
Ag 0.250 0.250 0.250 x8
Br 0.000 0.000 0.500 x4

Most stable to least stable, the ends of the list are run w and run x.

Run w
First-principles (PBE) data for crystalline V2AgBr at its relaxed geometry, as listed in Alexandria.

Output
* ρ: 7.4 g cm⁻³

Lattice parameters (Å, degrees): 6.396 6.396 6.396 90.00 90.00 90.00
Space group Fm-3m (No. 225)
Asymmetric unit:
V 0.250 0.250 0.250 x8
Ag 0.000 0.000 0.000 x4
Br 0.000 0.000 0.500 x4

Run x
First-principles (PBE) data for crystalline V2AgBr at its relaxed geometry, as listed in Alexandria.

Output
* ρ: 5.9 g cm⁻³

Lattice parameters (Å, degrees): 7.099 7.099 6.449 90.00 90.00 90.00
Space group I-42d (No. 122)
Asymmetric unit:
V 0.225 0.750 0.125 x8
Ag 0.000 0.000 0.500 x4
Br 0.000 0.000 0.000 x4

Most stable to least stable, the ends of the list are run w and run x.